Compound: NbGeSb2I
Source: Alexandria via LeMat-Bulk
Functional: GGA-PBE
Structure: optimized geometry

Computed properties:
Polymorph energy (0 for the lowest one) ... 0 meV per atom
SG ... P4/mmm (123)
Size of the total moment ... 1.03 μB per formula unit
N(E_F) ... 5.89 states/eV per cell
E ... -4.26 eV/atom

Unit cell a=5.3440 b=5.3440 c=5.7198 alpha=90.00 beta=90.00 gamma=90.00
Last column: magnetic moment on the atom in μB.
Atoms (fractional coordinates):
Ge  0.5000  0.5000  0.5000  0.33
I  0.0000  0.0000  0.5000  -0.01
Nb  0.0000  0.0000  0.0000  0.33
Sb  0.5000  0.0000  0.0000  -0.04
Sb  0.0000  0.5000  0.0000  -0.04